Density functional theory data (PBE) for an optimized crystal structure of DyZrBe2Ge2.

Results
Size of the total moment (μB per cell): 0.01
Electronic total energy (eV/atom): -5.639

Cell lengths 3.8468, 3.8468, 7.7720 Å; angles 90.00, 90.00, 120.00 degrees
Space group P-3m1 (No. 164)
Symmetry-distinct sites (fractional):
Dy 0.0000 0.0000 0.0000 x1
Zr 0.0000 0.0000 0.5000 x1
Be 0.3333 0.6667 0.7293 x2
Ge 0.3333 0.6667 0.2593 x2